MnBTeAu: relaxed, PBE.

a = 2.9745 Å, b = 2.9516 Å, c = 7.9804 Å
α = 90.00°, β = 100.72°, γ = 90.00°
With the nearest neighbours (Å) after each atom.
Space group Pm (No. 6)
Inequivalent atoms, fractional coordinates:
Mn (0.0000, 0.0000, 0.0000) (multiplicity 1)  4 B 2.11
B (0.5143, 0.5000, 0.0289) (multiplicity 1)  4 Mn 2.11
Te (0.8224, 0.0000, 0.6506) (multiplicity 1)  1 Mn 2.74, 1 Au 2.84, 4 Te 2.95-2.97
Au (0.6428, 0.0000, 0.2891) (multiplicity 1)  2 B 2.52, 2 Mn 2.71

Computed properties:
The total magnetic moment comes out at 0.4993 μB per atom. The calculation puts the uncorrected formation energy at 0.2415 eV per atom. The calculation puts the density of states at the Fermi level at 2.460 states/eV/f.u. The calculated total energy comes out at -5.3250 eV/atom. Its energy relative to the lowest polymorph listed for this composition is 34 meV per atom.